[1]
CaPr3Ho2Se6 | PBE-GGA | relaxed

The value obtained for the uncorrected formation energy is -1830 meV per atom.

The space group is C2/m (No. 12) and the conventional cell measures 7.1493, 12.3869 and 7.4003 Å, with angles of 90.00, 108.71 and 90.00 degrees. The distinct sites, in fractional coordinates, are Ca at (0.0000, 0.0000, 0.0000), Pr at (0.0000, 0.1639, 0.5000), Pr at (0.0000, 0.5000, 0.5000), Ho at (0.0000, 0.3330, 0.0000), Se at (0.2403, 0.5000, 0.2292) and Se at (0.2460, 0.1683, 0.2337).

=====

[2]
Sc2CrAs | PBE-GGA | relaxed

As for the formation enthalpy at 0 K: -0.085 eV/atom.

The space group is F-43m (No. 216) and the conventional cell measures 6.4824, 6.4824 and 6.4824 Å, with angles of 90.00, 90.00 and 90.00 degrees. The distinct sites, in fractional coordinates, are Sc at (0.0000, 0.0000, 0.0000), Sc at (0.2500, 0.2500, 0.2500), Cr at (0.2500, 0.2500, 0.7500) and As at (0.0000, 0.0000, 0.5000).

=====

| no. | VASP energy (eV per atom) | total magnetization (Bohr magnetons per cell) |
| --- | --- | --- |
| 1 | -5.70 | 0.0 |
| 2 | -6.82 | 4.4 |